Compound: Y3RhAu
Source: Alexandria via LeMat-Bulk
Functional: PBE-GGA
Structure: optimized geometry

Cell: 5.592 6.634 8.602 Å, 118.29 78.18 115.39°
Element x y z (fractional)
1 Rh 0.054 0.303 0.982
2 Y 0.174 0.386 0.677
3 Y 0.535 0.202 0.855
4 Au 0.347 0.752 0.505
5 Y 0.871 0.799 0.764
6 Y 0.826 0.614 0.323
7 Y 0.465 0.798 0.145
8 Au 0.653 0.248 0.495
9 Rh 0.946 0.697 0.018
10 Y 0.129 0.201 0.236

Computed properties:
E above lowest polymorph (meV per atom): 50
E_form (meV/atom): -666.3
Space-group type: P-1
D(E_F) (states/eV/f.u.): 3.839
Energy (eV/atom): -6.6705


Compound: Y4RhAu3
Source: Alexandria via LeMat-Bulk
Functional: PBE-GGA
Structure: optimized geometry

Cell: 3.554 3.554 14.374 Å, 90.00 90.00 90.00°
Element x y z (fractional)
1 Au 0.500 0.500 0.500
2 Au 0.500 0.500 0.755
3 Y 0.000 0.000 0.884
4 Y 0.000 0.000 0.629
5 Y 0.000 0.000 0.116
6 Y 0.000 0.000 0.371
7 Au 0.500 0.500 0.245
8 Rh 0.500 0.500 0.000

Computed properties:
E_form (meV/atom): -851.9
Space-group type: P4/mmm
D(E_F) (states/eV/f.u.): 5.673
Energy (eV/atom): -6.2319